Entry 1:
A geometry-optimized ZnAgF3 structure, computed with PBE-GGA.

Unit cell a=6.4018 b=6.4018 c=6.4018 alpha=50.98 beta=50.98 gamma=50.98
Atoms (fractional coordinates):
1 Zn 0.1596 0.1596 0.1596
2 Zn 0.8404 0.8404 0.8404
3 Ag 0.3574 0.3574 0.3574
4 Ag 0.6426 0.6426 0.6426
5 F 0.0433 0.4408 0.8079
6 F 0.1921 0.9567 0.5592
7 F 0.4408 0.8079 0.0433
8 F 0.5592 0.1921 0.9567
9 F 0.8079 0.0433 0.4408
10 F 0.9567 0.5592 0.1921

As for the raw formation energy: -8.9 eV per formula unit. Its total energy is -3.7247 eV/atom. Its space group is R-3, No. 148.


Entry 2:
A geometry-optimized ZnAg2F6 structure, computed with PBE-GGA.

Unit cell a=5.6007 b=5.3719 c=10.5474 alpha=90.00 beta=119.19 gamma=90.00
Atoms (fractional coordinates):
1 Zn 0.0000 0.0000 0.0000
2 Zn 0.0000 0.5000 0.5000
3 Ag 0.3024 0.0642 0.8107
4 Ag 0.3024 0.4358 0.3107
5 Ag 0.6976 0.5642 0.6893
6 Ag 0.6976 0.9358 0.1893
7 F 0.0226 0.2454 0.3627
8 F 0.0226 0.2546 0.8627
9 F 0.2583 0.6909 0.4570
10 F 0.2583 0.8091 0.9570
11 F 0.3701 0.1494 0.1915
12 F 0.3701 0.3506 0.6915
13 F 0.6299 0.6494 0.3085
14 F 0.6299 0.8506 0.8085
15 F 0.7417 0.1909 0.0430
16 F 0.7417 0.3091 0.5430
17 F 0.9774 0.7454 0.1373
18 F 0.9774 0.7546 0.6373

The distance to the lowest polymorph of the same formula is 0 meV per atom. As for the raw formation energy: -13.3 eV per formula unit. Its total energy is -3.4986 eV/atom. Its space group is P2_1/c, No. 14.


Entry 3:
A geometry-optimized ZnAg3F structure, computed with PBE-GGA.

Unit cell a=4.6095 b=4.6095 c=4.6095 alpha=90.00 beta=90.00 gamma=90.00
Atoms (fractional coordinates):
1 Zn 0.0000 0.0000 0.0000
2 Ag 0.0000 0.5000 0.5000
3 Ag 0.5000 0.0000 0.5000
4 Ag 0.5000 0.5000 0.0000
5 F 0.5000 0.5000 0.5000

The distance to the lowest polymorph of the same formula is 0 meV per atom. As for the raw formation energy: 0.1 eV per formula unit. Its total energy is -2.3275 eV/atom. Its space group is Pm-3m, No. 221.


Entry 4:
A geometry-optimized Zn2AgF structure, computed with PBE-GGA.

Unit cell a=4.4588 b=4.4588 c=4.4588 alpha=60.00 beta=60.00 gamma=60.00
Atoms (fractional coordinates):
1 Zn 0.2500 0.2500 0.2500
2 Zn 0.7500 0.7500 0.7500
3 Ag 0.0000 0.0000 0.0000
4 F 0.5000 0.5000 0.5000

The distance to the lowest polymorph of the same formula is 201 meV per atom. As for the raw formation energy: -1.4 eV per formula unit. Its total energy is -2.1729 eV/atom. Its space group is Fm-3m, No. 225.